This record from Alexandria describes an optimized crystal structure of Tb4NiTe2. The functional is PBE.

```
7
Lattice="7.8852 -2.0507 0.0000 7.8852 2.0507 0.0000 -3.0901 0.0000 6.3496" Properties=species:S:1:pos:R:3 pbc="T T T"
Tb 0.3222 0.0000 2.7206
Tb 6.0905 0.0000 0.3214
Tb 6.5897 0.0000 6.0282
Tb 12.3580 0.0000 3.6290
Ni 0.0000 0.0000 0.0000
Te 3.2585 0.0000 1.6384
Te 9.4218 0.0000 4.7112
```

Properties
**Formation energy (no corrections)**: -0.80 eV/atom
**SG**: C2/m
**N(E_F)**: 5.32 states/eV/f.u.